# 1
Entry from Alexandria via LeMat-Bulk: BeAsAu2 after structural relaxation (PBEsol).

Summary:
**E_form**: 143 kJ/mol of formula units
**E above lowest polymorph**: 0.142 eV per atom
**E_tot**: -3.87 eV per atom
**Size of the total moment**: 0.0 μB/cell

Unit cell a=4.4956 b=4.4956 c=4.4956 alpha=60.00 beta=60.00 gamma=60.00
Positions (direct):
Be1 0.2500 0.2500 0.2500
As1 0.5000 0.5000 0.5000
Au1 0.0000 0.0000 0.0000
Au2 0.7500 0.7500 0.7500

***

# 2
Entry from Alexandria via LeMat-Bulk: BeAs2Au after structural relaxation (PBEsol).

Summary:
**E_form**: 187 kJ/mol of formula units
**E_tot**: -4.05 eV per atom
**Size of the total moment**: 0.0 μB/cell

Unit cell a=4.5142 b=4.5142 c=4.5142 alpha=60.00 beta=60.00 gamma=60.00
Positions (direct):
Be1 0.2500 0.2500 0.2500
As1 0.0000 0.0000 0.0000
As2 0.7500 0.7500 0.7500
Au1 0.5000 0.5000 0.5000

***

# 3
Entry from Alexandria via LeMat-Bulk: BeAs2Au after structural relaxation (PBEsol).

Summary:
**E_form**: 129 kJ/mol of formula units
**E_tot**: -4.20 eV per atom
**Size of the total moment**: 0.0 μB/cell

Unit cell a=2.8853 b=2.8853 c=7.9488 alpha=90.00 beta=90.00 gamma=103.14
Positions (direct):
Be1 0.5000 0.5000 0.0000
As1 0.0000 0.0000 0.1942
As2 0.0000 0.0000 0.8058
Au1 0.5000 0.5000 0.5000